Below is a relaxed KCoPO crystal, with properties calculated at the PBE+U level.

## Properties
The volume is 17.077 Å³ per atom. The calculation puts the offset from the most stable computed form at 119 kJ/mol of formula units. Its total magnetic moment is 0.11 μB per formula unit.

Cell: 3.568 3.568 10.732 Å, 90.00 90.00 90.00°
Space group P4/nmm (No. 129, origin choice 2)
One atom of each set of equivalent atoms:
K  0.250  0.250  0.171
Co  0.250  0.750  0.500
P  0.250  0.250  0.612
O  0.250  0.750  0.000